Entry 1:
Y4IrRh | PBE | relaxed

Calculated values
Polymorph energy (0 for the lowest one): 37 meV/atom
E_form: -609 meV/atom
Size of the total moment: 0.0000 μB/atom

Unit cell a=8.420 b=8.304 c=6.824 alpha=66.81 beta=65.03 gamma=48.16
Fractional coordinates of all 12 atoms:
Y 0.015 0.485 0.752
Y 0.248 0.752 0.485
Y 0.248 0.752 0.985
Y 0.485 0.015 0.248
Y 0.515 0.985 0.752
Y 0.752 0.248 0.015
Y 0.752 0.248 0.515
Y 0.985 0.515 0.248
Ir 0.125 0.125 0.125
Ir 0.875 0.875 0.875
Rh 0.375 0.375 0.375
Rh 0.625 0.625 0.625

Entry 2:
YIrRh3 | PBE | relaxed

Calculated values
Polymorph energy (0 for the lowest one): 1202 meV/atom
E_form: 1739 meV/atom
Size of the total moment: 0.5695 μB/atom

Unit cell a=4.783 b=4.783 c=4.783 alpha=90.00 beta=90.00 gamma=90.00
Fractional coordinates of all 5 atoms:
Y 0.000 0.000 0.000
Ir 0.500 0.500 0.500
Rh 0.000 0.000 0.500
Rh 0.000 0.500 0.000
Rh 0.500 0.000 0.000

Entry 3:
YIrRh2 | PBE | relaxed

Calculated values
Polymorph energy (0 for the lowest one): 457 meV/atom
E_form: -81 meV/atom
Size of the total moment: 0.0000 μB/atom

Unit cell a=2.935 b=2.935 c=7.855 alpha=90.00 beta=90.00 gamma=90.00
Fractional coordinates of all 4 atoms:
Y 0.000 0.000 0.000
Ir 0.000 0.000 0.500
Rh 0.500 0.500 0.276
Rh 0.500 0.500 0.724

Entry 4:
Y2IrRh | PBE | relaxed

Calculated values
Polymorph energy (0 for the lowest one): 15 meV/atom
E_form: -820 meV/atom
Size of the total moment: 0.0000 μB/atom

Unit cell a=4.919 b=4.919 c=3.354 alpha=90.00 beta=90.00 gamma=90.20
Fractional coordinates of all 4 atoms:
Y 0.000 0.500 0.000
Y 0.500 0.000 0.000
Ir 0.000 0.000 0.500
Rh 0.500 0.500 0.500

Entry 5:
Y2IrRh2 | PBE | relaxed

Calculated values
E_form: -629 meV/atom
Size of the total moment: 0.0000 μB/atom

Unit cell a=6.950 b=6.950 c=4.098 alpha=90.00 beta=90.00 gamma=90.00
Fractional coordinates of all 10 atoms:
Y 0.181 0.319 0.000
Y 0.319 0.819 0.000
Y 0.681 0.181 0.000
Y 0.819 0.681 0.000
Ir 0.000 0.000 0.500
Ir 0.500 0.500 0.500
Rh 0.130 0.630 0.500
Rh 0.370 0.130 0.500
Rh 0.630 0.870 0.500
Rh 0.870 0.370 0.500

Entry 6:
YIrRh2 | PBE | relaxed

Calculated values
Polymorph energy (0 for the lowest one): 360 meV/atom
E_form: -177 meV/atom
Size of the total moment: 0.0000 μB/atom

Unit cell a=3.400 b=3.400 c=6.004 alpha=90.00 beta=90.00 gamma=90.00
Fractional coordinates of all 4 atoms:
Y 0.000 0.000 0.000
Ir 0.000 0.000 0.500
Rh 0.500 0.500 0.283
Rh 0.500 0.500 0.717

- Among the records above, which one has the highest E_form?
  YIrRh3